! TbPrNpN3 PBE-GGA relaxed; values from VASP
&SYSTEM
  ibrav = 0, nat = 12, ntyp = 4
/
ATOMIC_SPECIES
Tb 158.93 Tb.upf
Pr 140.91 Pr.upf
Np 237.00 Np.upf
N 14.01 N.upf
CELL_PARAMETERS angstrom
3.645 0.000 0.000
0.000 7.274 0.731
0.000 -2.142 8.398
ATOMIC_POSITIONS angstrom
Tb 0.911 4.256 1.718
Tb 2.734 0.875 7.411
Pr 2.734 4.207 7.847
Pr 0.911 0.924 1.283
Np 0.911 -0.846 5.008
Np 2.734 5.978 4.122
N 0.911 4.800 4.041
N 2.734 6.191 1.943
N 2.734 2.638 1.315
N 2.734 0.332 5.088
N 0.911 2.493 7.814
N 0.911 -1.059 7.187
! raw total energy = -8.904 eV per atom
! raw formation energy = -1.0158 eV per atom
! symmetry = P2_1/m
! spin magnetization = 0.1785 μB/atom

---

! Tb3Pr2NpN6 PBE-GGA relaxed; values from VASP
&SYSTEM
  ibrav = 0, nat = 12, ntyp = 4
/
ATOMIC_SPECIES
Tb 158.93 Tb.upf
Pr 140.91 Pr.upf
Np 237.00 Np.upf
N 14.01 N.upf
CELL_PARAMETERS angstrom
6.151 0.000 0.001
-3.074 5.327 0.001
-1.026 -1.776 5.759
ATOMIC_POSITIONS angstrom
Tb -2.061 3.558 2.880
Tb 4.112 -0.007 2.880
Tb 1.026 1.776 2.880
Pr 0.000 3.552 0.001
Pr 3.077 1.775 0.001
Np 0.000 0.000 0.000
N 2.991 1.921 4.325
N 2.140 3.706 1.418
N -0.940 1.631 1.435
N 0.169 3.551 4.325
N -0.089 -0.154 4.342
N 1.883 0.001 1.435
! raw total energy = -8.640 eV per atom
! raw formation energy = -1.4449 eV per atom
! symmetry = C2/m
! spin magnetization = 0.2158 μB/atom

---

! Tb2Pr3NpN6 PBE-GGA relaxed; values from VASP
&SYSTEM
  ibrav = 0, nat = 12, ntyp = 4
/
ATOMIC_SPECIES
Tb 158.93 Tb.upf
Pr 140.91 Pr.upf
Np 237.00 Np.upf
N 14.01 N.upf
CELL_PARAMETERS angstrom
6.137 0.002 0.000
-3.066 5.317 0.000
-1.024 -1.773 5.873
ATOMIC_POSITIONS angstrom
Tb 0.005 3.543 0.000
Tb 3.067 1.775 0.000
Pr -2.028 3.535 2.937
Pr 4.075 0.010 2.937
Pr 1.024 1.772 2.937
Np 0.000 0.000 0.000
N 2.995 1.901 4.591
N 2.118 3.668 1.307
N -0.948 1.644 1.283
N 0.149 3.544 4.591
N -0.071 -0.123 4.567
N 1.898 0.001 1.283
! raw total energy = -8.622 eV per atom
! raw formation energy = -1.4148 eV per atom
! symmetry = C2/m
! spin magnetization = 0.1670 μB/atom